Entry 1:
Here is an optimized crystal structure of BeAg2Br from Alexandria. Energies are from GGA-PBE.

Calculated values
DOS(E_F) = 1.070 states/eV/atom
Size of the total moment = 0.19 μB/cell
Uncorrected formation energy = 0.73 eV/atom
Mass density = 6.5 Mg/m³
E = -2.0418 eV/atom
Energy relative to the lowest polymorph listed for this composition = 690 meV/atom

abc: 4.7837 4.7837 4.7837
angles: 60.00 60.00 60.00
Closest atoms and distances in Å follow each position.
Atoms (fractional coordinates):
Be1 0.5000 0.5000 0.5000  4 Br 2.93, 4 Ag 2.93
Br1 0.7500 0.7500 0.7500  4 Be 2.93, 4 Ag 2.93
Ag1 0.0000 0.0000 0.0000  4 Br 2.93, 4 Ag 2.93
Ag2 0.2500 0.2500 0.2500  4 Ag 2.93, 4 Be 2.93

=====

Entry 2:
Here is an optimized crystal structure of Cs2BeAgBr6 from Alexandria. Energies are from GGA-PBE.

Calculated values
DOS(E_F) = 0.975 states/eV/atom
Size of the total moment = 0.00 μB/cell
Uncorrected formation energy = -0.98 eV/atom
Mass density = 4.3 Mg/m³
E = -2.8084 eV/atom

abc: 7.5867 7.5867 7.9145
angles: 61.36 61.36 90.00
Closest atoms and distances in Å follow each position.
Atoms (fractional coordinates):
Cs1 0.7500 0.2500 0.5000  12 Br 3.81-3.97
Cs2 0.2500 0.7500 0.5000  12 Br 3.81-3.97
Be1 0.5000 0.5000 0.0000  4 Br 2.31
Br1 0.2187 0.2187 0.5625  1 Ag 2.55
Br2 0.7813 0.7813 0.4375  1 Ag 2.55
Br3 0.2846 0.2846 0.0000  1 Be 2.31
Br4 0.7154 0.7154 0.0000  1 Be 2.31
Br5 0.7154 0.2846 0.0000  1 Be 2.31
Br6 0.2846 0.7154 0.0000  1 Be 2.31
Ag1 0.0000 0.0000 0.0000  2 Br 2.55

=====

Entry 3:
Here is an optimized crystal structure of BeAgH2Br from Alexandria. Energies are from GGA-PBE.

Calculated values
DOS(E_F) = 0.081 states/eV/atom
Size of the total moment = 0.00 μB/cell
Mass density = 4.1 Mg/m³
E = -2.5435 eV/atom

abc: 3.6506 6.0182 3.6506
angles: 90.00 90.00 90.00
Closest atoms and distances in Å follow each position.
Atoms (fractional coordinates):
Be1 0.0000 0.0000 0.0000  4 H 1.83
Br1 0.5000 0.5000 0.5000  4 Ag 2.58
Ag1 0.0000 0.5000 0.0000  4 Br 2.58
H1 0.0000 0.0000 0.5000  2 Be 1.83
H2 0.5000 0.0000 0.0000  2 Be 1.83

=====

Entry 4:
Here is an optimized crystal structure of KBe2AgBr6 from Alexandria. Energies are from GGA-PBE.

Calculated values
DOS(E_F) = 0.000 states/eV/atom
Size of the total moment = 0.00 μB/cell
Uncorrected formation energy = -1.01 eV/atom
Mass density = 3.2 Mg/m³
E = -3.1491 eV/atom

abc: 10.5177 10.5177 6.1303
angles: 97.40 97.40 97.64
Closest atoms and distances in Å follow each position.
Atoms (fractional coordinates):
K1 0.1802 0.8198 0.2500  4 Br 3.39-3.56
K2 0.8198 0.1802 0.7500  4 Br 3.39-3.56
Be1 0.3104 0.1671 0.9101  4 Br 2.12-2.26
Be2 0.8329 0.6896 0.5899  4 Br 2.12-2.26
Be3 0.6896 0.8329 0.0899  4 Br 2.12-2.26
Be4 0.1671 0.3104 0.4101  4 Br 2.12-2.26
Ag1 0.5134 0.4866 0.2500  4 Br 2.73-2.79
Ag2 0.4866 0.5134 0.7500  4 Br 2.73-2.79
Br1 0.9726 0.3085 0.2674  1 Be 2.12
Br2 0.6915 0.0274 0.2326  1 Be 2.12
Br3 0.0274 0.6915 0.7326  1 Be 2.12
Br4 0.3085 0.9726 0.7674  1 Be 2.12
Br5 0.2729 0.1593 0.2625  2 Be 2.22-2.26
Br6 0.8407 0.7271 0.2375  2 Be 2.22-2.26
Br7 0.7271 0.8407 0.7375  2 Be 2.22-2.26
Br8 0.1593 0.2729 0.7625  2 Be 2.22-2.26
Br9 0.2824 0.5059 0.4232  1 Be 2.23
Br10 0.4941 0.7176 0.0768  1 Be 2.23
Br11 0.7176 0.4941 0.5768  1 Be 2.23
Br12 0.5059 0.2824 0.9232  1 Be 2.23

=====

Entry 5:
Here is an optimized crystal structure of KBeAgBr2 from Alexandria. Energies are from GGA-PBE.

Calculated values
DOS(E_F) = 0.004 states/eV/atom
Size of the total moment = 0.00 μB/cell
Uncorrected formation energy = 0.16 eV/atom
Mass density = 2.9 Mg/m³
E = -2.0476 eV/atom

abc: 5.4570 6.1296 5.4570
angles: 90.00 90.00 90.00
Closest atoms and distances in Å follow each position.
Atoms (fractional coordinates):
Be1 0.5000 0.5000 0.5000  4 K 3.86, 8 Br 4.10
K1 0.0000 0.5000 0.0000  2 Ag 3.06
Br1 0.0000 0.0000 0.5000  2 Ag 2.73
Br2 0.5000 0.0000 0.0000  2 Ag 2.73
Ag1 0.0000 0.0000 0.0000  4 Br 2.73

=====

Entry 6:
Here is an optimized crystal structure of BeAg2MoBr from Alexandria. Energies are from GGA-PBE.

Calculated values
DOS(E_F) = 0.408 states/eV/atom
Size of the total moment = 2.70 μB/cell
Uncorrected formation energy = 0.77 eV/atom
Mass density = 6.9 Mg/m³
E = -3.6155 eV/atom

abc: 4.5444 4.6398 4.5444
angles: 90.00 90.00 90.00
Closest atoms and distances in Å follow each position.
Atoms (fractional coordinates):
Be1 0.0000 0.0000 0.0000  4 Ag 2.27, 2 Mo 2.32
Mo1 0.0000 0.5000 0.0000  2 Be 2.32
Br1 0.5000 0.5000 0.5000  4 Mo 3.21, 8 Ag 3.25
Ag1 0.0000 0.0000 0.5000  2 Be 2.27
Ag2 0.5000 0.0000 0.0000  2 Be 2.27

=====

Entry 7:
Here is an optimized crystal structure of BeAgMoBr2 from Alexandria. Energies are from GGA-PBE.

Calculated values
DOS(E_F) = 0.330 states/eV/atom
Size of the total moment = 4.78 μB/cell
Uncorrected formation energy = 0.90 eV/atom
Mass density = 5.5 Mg/m³
E = -3.2555 eV/atom

abc: 4.7740 4.9507 4.7740
angles: 90.00 90.00 90.00
Closest atoms and distances in Å follow each position.
Atoms (fractional coordinates):
Be1 0.0000 0.0000 0.0000  4 Br 2.39, 2 Ag 2.48
Mo1 0.5000 0.5000 0.5000  4 Ag 3.38, 8 Br 3.44
Br1 0.0000 0.0000 0.5000  2 Be 2.39
Br2 0.5000 0.0000 0.0000  2 Be 2.39
Ag1 0.0000 0.5000 0.0000  2 Be 2.48

=====

Entry 8:
Here is an optimized crystal structure of NaBeAgBr4 from Alexandria. Energies are from GGA-PBE.

Calculated values
DOS(E_F) = 0.000 states/eV/atom
Size of the total moment = 0.00 μB/cell
Uncorrected formation energy = -0.90 eV/atom
Mass density = 4.2 Mg/m³
E = -2.9870 eV/atom

abc: 8.0241 7.9649 7.9649
angles: 60.31 59.75 59.75
Closest atoms and distances in Å follow each position.
Atoms (fractional coordinates):
Na1 0.0000 0.0000 0.0000  6 Br 2.96
Na2 0.0000 0.5000 0.5000  6 Br 2.96
Be1 0.6214 0.6286 0.1286  4 Br 2.23
Be2 0.3786 0.3714 0.8714  4 Br 2.23
Ag1 0.5000 0.0000 0.5000  6 Br 2.89-2.96
Ag2 0.0000 0.0000 0.5000  6 Br 2.89-2.96
Br1 0.7363 0.7420 0.7854  1 Be 2.23
Br2 0.2637 0.7146 0.7580  1 Be 2.23
Br3 0.7363 0.2854 0.2420  1 Be 2.23
Br4 0.2637 0.2580 0.2146  1 Be 2.23
Br5 0.2803 0.7421 0.2421  1 Be 2.23
Br6 0.7355 0.7421 0.2421  1 Be 2.23
Br7 0.2645 0.2579 0.7579  1 Be 2.23
Br8 0.7197 0.2579 0.7579  1 Be 2.23

=====

Entry 9:
Here is an optimized crystal structure of Be2AgOsBr from Alexandria. Energies are from GGA-PBE.

Calculated values
DOS(E_F) = 0.638 states/eV/atom
Size of the total moment = 0.75 μB/cell
Uncorrected formation energy = 1.88 eV/atom
Mass density = 7.6 Mg/m³
E = -2.7654 eV/atom

abc: 4.2392 4.8360 4.2392
angles: 90.00 90.00 90.00
Closest atoms and distances in Å follow each position.
Atoms (fractional coordinates):
Be1 0.0000 0.0000 0.5000  2 Br 2.12
Be2 0.5000 0.0000 0.0000  2 Br 2.12
Os1 0.5000 0.5000 0.5000  4 Ag 3.00, 8 Be 3.22
Br1 0.0000 0.0000 0.0000  4 Be 2.12
Ag1 0.0000 0.5000 0.0000  2 Br 2.42

=====

Entry 10:
Here is an optimized crystal structure of RbBe2AgBr6 from Alexandria. Energies are from GGA-PBE.

Calculated values
DOS(E_F) = 0.000 states/eV/atom
Size of the total moment = 0.00 μB/cell
Uncorrected formation energy = -0.99 eV/atom
Mass density = 3.0 Mg/m³
E = -3.1191 eV/atom

abc: 11.1263 11.1263 8.7198
angles: 104.14 104.14 123.57
Closest atoms and distances in Å follow each position.
Atoms (fractional coordinates):
Rb1 0.1671 0.8329 0.2500  6 Br 3.51-3.81
Rb2 0.8329 0.1671 0.7500  6 Br 3.51-3.81
Be1 0.4278 0.1874 0.7797  3 Br 2.07-2.10
Be2 0.8126 0.5722 0.7203  3 Br 2.07-2.10
Be3 0.5722 0.8126 0.2203  3 Br 2.07-2.10
Be4 0.1874 0.4278 0.2797  3 Br 2.07-2.10
Ag1 0.5109 0.4891 0.2500  4 Br 2.82-2.83
Ag2 0.4891 0.5109 0.7500  4 Br 2.82-2.83
Br1 0.9945 0.4251 0.2021  1 Be 2.07
Br2 0.5749 0.0055 0.2979  1 Be 2.07
Br3 0.0055 0.5749 0.7979  1 Be 2.07
Br4 0.4251 0.9945 0.7021  1 Be 2.07
Br5 0.1728 0.2416 0.1163  1 Be 2.10
Br6 0.7584 0.8272 0.3837  1 Be 2.10
Br7 0.8272 0.7584 0.8837  1 Be 2.10
Br8 0.2416 0.1728 0.6163  1 Be 2.10
Br9 0.4025 0.6203 0.5194  1 Be 2.09
Br10 0.3797 0.5975 0.9806  1 Be 2.09
Br11 0.5975 0.3797 0.4806  1 Be 2.09
Br12 0.6203 0.4025 0.0194  1 Be 2.09

=====

Entry 11:
Here is an optimized crystal structure of BeAgRhBr2 from Alexandria. Energies are from GGA-PBE.

Calculated values
DOS(E_F) = 0.459 states/eV/atom
Size of the total moment = 0.16 μB/cell
Uncorrected formation energy = 0.41 eV/atom
Mass density = 6.3 Mg/m³
E = -3.0458 eV/atom

abc: 4.8246 4.2767 4.8246
angles: 90.00 90.00 90.00
Closest atoms and distances in Å follow each position.
Atoms (fractional coordinates):
Be1 0.0000 0.0000 0.0000  2 Rh 2.14
Rh1 0.0000 0.5000 0.0000  2 Be 2.14
Br1 0.0000 0.0000 0.5000  2 Be 2.41
Br2 0.5000 0.0000 0.0000  2 Be 2.41
Ag1 0.5000 0.5000 0.5000  8 Br 3.22, 4 Rh 3.41

=====

Entry 12:
Here is an optimized crystal structure of Be2AgSBr from Alexandria. Energies are from GGA-PBE.

Calculated values
DOS(E_F) = 0.312 states/eV/atom
Size of the total moment = 0.00 μB/cell
Uncorrected formation energy = 0.43 eV/atom
Mass density = 3.6 Mg/m³
E = -2.7930 eV/atom

abc: 4.0150 4.0150 6.8590
angles: 90.00 90.00 90.00
Closest atoms and distances in Å follow each position.
Atoms (fractional coordinates):
Be1 0.0000 0.5000 0.0000  2 S 2.01
Be2 0.5000 0.0000 0.0000  2 S 2.01
S1 0.0000 0.0000 0.0000  4 Be 2.01
Br1 0.5000 0.5000 0.5000  4 Ag 2.84
Ag1 0.0000 0.0000 0.5000  4 Br 2.84

=====

> Which value of mass density does entry 5 give?

2.9 Mg/m³